This record from Alexandria via LeMat-Bulk describes a relaxed structure of AlBPS2. The functional is GGA-PBEsol.

Results
- Fermi-level density of states (states/eV/cell) = 2.7
- ΔE to the lowest computed polymorph (meV per atom) = 0
- spin magnetization (μB per atom) = 0.00

a = 4.3277 Å, b = 4.3277 Å, c = 3.8323 Å
α = 90.00°, β = 90.00°, γ = 90.00°
Space group P4/mmm (No. 123)
Unique sites:
1 Al 0.0000 0.0000 0.0000 x1
2 B 0.5000 0.5000 0.5000 x1
3 P 0.5000 0.5000 0.0000 x1
4 S 0.0000 0.5000 0.5000 x2